(1)
ZrHgF2 | GGA-PBE | relaxed

Cell: 2.9486 2.9486 26.1484 Å, 90.00 90.00 120.00°
Space group R-3m (No. 166, hexagonal axes)
Symmetry-distinct sites (fractional):
Zr 0.0000 0.0000 0.0000 (multiplicity 3)
Hg 0.0000 0.0000 0.5000 (multiplicity 3)
F 0.0000 0.0000 0.3919 (multiplicity 6)

Calculated values
Energy above the lowest structure with this stoichiometry   0.000 eV per atom
Uncorrected energy   -5.11 eV/atom
Formation energy from raw total energies   -1.96 eV per atom
Magnetization   0.000 μB per atom



(2)
ZrHgF3 | GGA-PBE | relaxed

Cell: 4.387 4.387 4.387 Å, 90.00 90.00 90.00°
Space group Pm-3m (No. 221)
Symmetry-distinct sites (fractional):
Zr 0.000 0.000 0.000 (multiplicity 1)
Hg 0.500 0.500 0.500 (multiplicity 1)
F 0.000 0.000 0.500 (multiplicity 3)

Calculated values
Energy above the lowest structure with this stoichiometry   0.000 eV per atom
Uncorrected energy   -5.36 eV/atom
Formation energy from raw total energies   -2.46 eV per atom
Magnetization   0.200 μB per atom



(3)
ZrHgF3 | GGA-PBE | relaxed

Cell: 4.583 4.583 4.583 Å, 90.00 90.00 90.00°
Space group Pm-3m (No. 221)
Symmetry-distinct sites (fractional):
Zr 0.000 0.000 0.000 (multiplicity 1)
Hg 0.500 0.500 0.500 (multiplicity 1)
F 0.000 0.500 0.500 (multiplicity 3)

Calculated values
Energy above the lowest structure with this stoichiometry   1.623 eV per atom
Uncorrected energy   -3.73 eV/atom
Formation energy from raw total energies   -0.84 eV per atom
Magnetization   0.499 μB per atom



(4)
ZrHg2F11 | GGA-PBE | relaxed

Cell: 8.544 10.124 10.514 Å, 90.00 90.00 90.00°
Space group Ibam (No. 72)
Symmetry-distinct sites (fractional):
Zr 0.000 0.000 0.250 (multiplicity 4)
Hg 0.205 0.289 0.000 (multiplicity 8)
F 0.000 0.500 0.000 (multiplicity 4)
F 0.075 0.342 0.500 (multiplicity 8)
F 0.093 0.175 0.157 (multiplicity 16)
F 0.183 0.061 0.371 (multiplicity 16)

Calculated values
Uncorrected energy   -3.98 eV/atom
Formation energy from raw total energies   -1.86 eV per atom
Magnetization   0.064 μB per atom



(5)
ZrHgF2 | GGA-PBE | relaxed

Cell: 6.360 6.360 6.360 Å, 90.00 90.00 90.00°
Space group Fm-3m (No. 225)
Symmetry-distinct sites (fractional):
Zr 0.000 0.000 0.000 (multiplicity 4)
Hg 0.000 0.000 0.500 (multiplicity 4)
F 0.250 0.250 0.250 (multiplicity 8)

Calculated values
Energy above the lowest structure with this stoichiometry   0.720 eV per atom
Uncorrected energy   -4.39 eV/atom
Formation energy from raw total energies   -1.24 eV per atom
Magnetization   0.498 μB per atom



(6)
ZrHg2F8 | GGA-PBE | relaxed

Cell: 15.754 3.725 5.204 Å, 90.00 104.83 90.00°
Space group C2/m (No. 12)
Symmetry-distinct sites (fractional):
Zr 0.000 0.000 0.000 (multiplicity 2)
Hg 0.174 0.500 0.673 (multiplicity 4)
F 0.020 0.500 0.799 (multiplicity 4)
F 0.090 0.000 0.371 (multiplicity 4)
F 0.125 0.000 0.910 (multiplicity 4)
F 0.234 0.500 0.279 (multiplicity 4)

Calculated values
Energy above the lowest structure with this stoichiometry   0.014 eV per atom
Uncorrected energy   -4.57 eV/atom
Formation energy from raw total energies   -2.37 eV per atom
Magnetization   0.000 μB per atom



(7)
Zr3HgF | GGA-PBE | relaxed

Cell: 4.573 4.573 4.573 Å, 90.00 90.00 90.00°
Space group Pm-3m (No. 221)
Symmetry-distinct sites (fractional):
Zr 0.000 0.000 0.500 (multiplicity 3)
Hg 0.500 0.500 0.500 (multiplicity 1)
F 0.000 0.000 0.000 (multiplicity 1)

Calculated values
Energy above the lowest structure with this stoichiometry   0.000 eV per atom
Uncorrected energy   -6.13 eV/atom
Formation energy from raw total energies   -0.57 eV per atom
Magnetization   0.000 μB per atom



(8)
Ho4F | GGA-PBE | relaxed

Cell: 5.007 5.007 5.007 Å, 90.00 90.00 90.00°
Space group Pm-3m (No. 221)
Symmetry-distinct sites (fractional):
Ho 0.000 0.000 0.000 (multiplicity 1)
Ho 0.000 0.500 0.500 (multiplicity 3)
F 0.500 0.500 0.500 (multiplicity 1)

Calculated values
Uncorrected energy   -4.95 eV/atom
Formation energy from raw total energies   -0.91 eV per atom
Magnetization   0.000 μB per atom



no.,theoretical density (g cm⁻³)
1,8.34
2,6.86
3,6.02
4,5.12
5,8.52
6,7.25
7,8.57
8,8.98